# 1
A geometry-optimized Ba3Zn2Pb4 structure, computed with PBE.

Unit cell a=13.3738 b=4.9199 c=9.8339 alpha=90.00 beta=97.95 gamma=90.00
Space group C2/m (No. 12)
Unique sites:
Ba: 0.0000 0.0000 0.0000
Ba: 0.1571 0.5000 0.6597
Zn: 0.0870 0.5000 0.2592
Pb: 0.0734 0.0000 0.3886
Pb: 0.2359 0.5000 0.0896

## Properties
Its energy of formation is -0.411 eV per atom. Its crystal system is monoclinic.

# 2
A geometry-optimized Rb3AlB structure, computed with PBE.

Unit cell a=6.2718 b=6.2718 c=6.2718 alpha=90.00 beta=90.00 gamma=90.00
Space group Pm-3m (No. 221)
Unique sites:
Rb: 0.0000 0.0000 0.5000
Al: 0.5000 0.5000 0.5000
B: 0.0000 0.0000 0.0000

## Properties
Its energy of formation is 1.127 eV per atom. Its crystal system is cubic.

# 3
A geometry-optimized AgMo2Pb structure, computed with PBE.

Unit cell a=7.6128 b=7.6128 c=5.5048 alpha=90.00 beta=90.00 gamma=90.00
Space group I-42d (No. 122)
Unique sites:
Ag: 0.0000 0.0000 0.0000
Mo: 0.2444 0.2500 0.1250
Pb: 0.0000 0.0000 0.5000

## Properties
Its energy of formation is 1.180 eV per atom. Its crystal system is tetragonal.

# 4
A geometry-optimized Ta2AsPb structure, computed with PBE.

Unit cell a=9.5818 b=3.4365 c=5.3043 alpha=90.00 beta=108.62 gamma=90.00
Space group Cm (No. 8)
Unique sites:
Ta: 0.0000 0.0000 0.0000
Ta: 0.2330 0.5000 0.2700
As: 0.4662 0.0000 0.3639
Pb: 0.2348 0.0000 0.7718

## Properties
Its energy of formation is 0.275 eV per atom. Its crystal system is monoclinic.